Run a
# CoRuRh4

CoRuRh4 after structural relaxation (PBE-GGA, Alexandria).

## Properties
N(E_F)	1.715	states/eV per atom
total moment	2.10	Bohr magnetons per cell
crystal system	orthorhombic

a = 2.695 Å, b = 3.780 Å, c = 8.069 Å
α = 90.00°, β = 90.00°, γ = 90.00°
Site moments in Bohr magnetons follow the coordinates.
Fractional coordinates of all 6 atoms:
Rh 0.500 0.000 0.160  0.21
Rh 0.000 0.500 0.667  -0.02
Rh 0.500 0.000 0.840  0.21
Rh 0.000 0.500 0.333  -0.02
Co 0.000 0.500 0.000  1.75
Ru 0.500 0.000 0.500  0.03

=====

Run b
# CoRuRh4

CoRuRh4 after structural relaxation (PBE-GGA, Alexandria).

## Properties
N(E_F)	1.462	states/eV per atom
total moment	3.89	Bohr magnetons per cell
crystal system	monoclinic

a = 7.285 Å, b = 5.149 Å, c = 5.153 Å
α = 117.87°, β = 90.00°, γ = 90.00°
Site moments in Bohr magnetons follow the coordinates.
Fractional coordinates of all 12 atoms:
Rh 0.191 0.749 0.247  0.05
Rh 0.809 0.749 0.247  0.05
Rh 0.691 0.751 0.753  0.05
Rh 0.191 0.251 0.753  0.05
Rh 0.309 0.249 0.247  0.05
Rh 0.691 0.249 0.247  0.05
Rh 0.809 0.251 0.753  0.05
Rh 0.309 0.751 0.753  0.05
Ru 0.000 0.500 0.500  0.30
Ru 0.500 0.000 0.500  0.30
Co 0.500 0.500 0.000  1.47
Co 0.000 0.000 0.000  1.47

=====

Run c
# CoRuRh4

CoRuRh4 after structural relaxation (PBE-GGA, Alexandria).

## Properties
N(E_F)	2.276	states/eV per atom
total moment	4.04	Bohr magnetons per cell
crystal system	cubic

a = 5.031 Å, b = 5.031 Å, c = 5.031 Å
α = 60.00°, β = 60.00°, γ = 60.00°
Site moments in Bohr magnetons follow the coordinates.
Fractional coordinates of all 6 atoms:
Rh 0.375 0.875 0.375  0.27
Rh 0.375 0.375 0.875  0.27
Rh 0.875 0.375 0.375  0.27
Rh 0.375 0.375 0.375  0.27
Ru 0.750 0.750 0.750  0.98
Co 0.000 0.000 0.000  2.08

=====

Short version: run a is the most stable of them.